Entry 1:
Entry from Alexandria: crystalline Ca2AsW at its relaxed geometry (PBE).

Output
Fermi-level density of states = 4.2 states/eV per cell
magnetic moment = 2.6 Bohr magnetons per cell
E_form = 43 kJ/mol of atoms

```
4
Lattice="-2.054 0.188 -3.687 -1.281 -4.420 0.488 -3.836 1.356 2.206" Properties=species:S:1:pos:R:3 pbc="T T T"
Ca 0.000 0.000 0.000
Ca -2.559 -1.532 1.347
As -2.945 0.772 -0.741
W -1.668 -2.116 -1.600
```

***

Entry 2:
Entry from Alexandria: crystalline PmSmBiSb at its relaxed geometry (PBE).

Output
ΔE_f (raw) = -0.7675 eV per atom
Fermi-level density of states = 3.2 states/eV per cell
relative energy among the computed polymorphs = 287.3 meV per atom
magnetic moment = 0.0 Bohr magnetons per cell

```
4
Lattice="-4.425 -2.787 1.805 -2.402 -3.780 -3.247 0.429 -5.377 1.229" Properties=species:S:1:pos:R:3 pbc="T T T"
Bi -3.199 -5.972 -0.107
Pm -4.799 -8.958 -0.160
Sm -1.600 -2.986 -0.053
Sb 0.000 0.000 0.000
```

***

Entry 3:
Entry from Alexandria: crystalline Cu2NiTe4 at its relaxed geometry (PBE).

Output
ΔE_f (raw) = -0.0685 eV per atom
Fermi-level density of states = 10.0 states/eV per cell
relative energy among the computed polymorphs = 0.0 meV per atom
magnetic moment = 0.0 Bohr magnetons per cell

```
14
Lattice="-4.324 -5.598 3.287 1.390 -2.209 7.322 -4.994 1.764 5.689" Properties=species:S:1:pos:R:3 pbc="T T T"
Te -3.398 -5.411 9.188
Te -1.359 -2.771 7.637
Te -4.530 -0.631 7.110
Te -1.835 -1.630 4.065
Te -6.093 -4.413 12.233
Te -6.569 -3.272 8.661
Te -3.990 -4.378 5.804
Te -3.938 -1.665 10.494
Cu -3.485 0.150 4.925
Cu -2.162 -2.799 1.644
Cu -4.443 -6.192 11.373
Cu -3.964 -3.021 8.149
Ni -1.467 -3.903 5.304
Ni 0.695 -1.104 3.661
```

***

Entry 4:
Entry from Alexandria: crystalline Cs3SrNp2Se6 at its relaxed geometry (PBE).

Output
ΔE_f (raw) = -1.3828 eV per atom
Fermi-level density of states = 18.3 states/eV per cell
magnetic moment = 7.0 Bohr magnetons per cell

```
12
Lattice="7.609 0.001 0.000 -3.802 6.591 0.000 -1.269 -2.198 8.360" Properties=species:S:1:pos:R:3 pbc="T T T"
Se 2.723 0.002 1.571
Se 2.448 4.238 1.548
Se 3.897 2.035 6.789
Se -1.359 2.359 1.571
Se -0.185 4.392 6.789
Se 0.090 0.156 6.812
Cs -2.607 4.435 4.180
Cs 1.269 2.197 4.180
Cs 5.145 -0.041 4.180
Sr 0.000 0.000 0.000
Np 3.811 2.195 0.000
Np -0.004 4.398 0.000
```

***

Entry 5:
Entry from Alexandria: crystalline MnMoHOs at its relaxed geometry (PBE).

Output
Fermi-level density of states = 6.9 states/eV per cell
relative energy among the computed polymorphs = 73.3 meV per atom
magnetic moment = 2.6 Bohr magnetons per cell

```
8
Lattice="3.918 0.000 0.000 0.000 2.717 0.000 0.000 0.000 8.222" Properties=species:S:1:pos:R:3 pbc="T T T"
Os 0.000 0.000 1.108
Os 1.959 1.358 5.219
H 0.000 1.358 2.882
H 1.959 0.000 6.993
Mn 1.959 1.358 8.154
Mn 0.000 0.000 4.043
Mo 0.000 0.000 6.702
Mo 1.959 1.358 2.591
```

***

Entry 6:
Entry from Alexandria: crystalline Dy2ErSc3As6 at its relaxed geometry (PBE).

Output
Fermi-level density of states = 2.0 states/eV per cell
magnetic moment = 0.0 Bohr magnetons per cell
E_form = -139 kJ/mol of atoms

```
12
Lattice="-4.103 3.544 4.312 -1.928 -6.260 -2.255 4.983 -1.847 4.409" Properties=species:S:1:pos:R:3 pbc="T T T"
Sc -0.524 -2.282 3.233
Sc 0.200 -5.545 1.047
Sc -1.248 0.982 5.419
As -0.577 0.450 2.777
As -1.193 -1.758 5.869
As -0.471 -5.013 3.689
As 0.145 -2.805 0.597
As 2.195 -2.021 3.745
As -3.243 -2.542 2.721
Er 0.000 0.000 0.000
Dy -2.653 -2.991 -0.065
Dy -3.378 0.275 2.122
```

***

Entry 7:
Entry from Alexandria: crystalline In3TeOs at its relaxed geometry (PBE).

Output
ΔE_f (raw) = 0.3073 eV per atom
Fermi-level density of states = 3.5 states/eV per cell
relative energy among the computed polymorphs = 0.0 meV per atom
magnetic moment = 0.0 Bohr magnetons per cell

```
5
Lattice="-3.614 3.086 -2.169 -1.139 -3.757 -3.447 -3.596 -1.912 3.272" Properties=species:S:1:pos:R:3 pbc="T T T"
In -0.569 -1.878 -1.723
In -1.798 -0.956 1.636
In -1.807 1.543 -1.085
Os 0.000 0.000 0.000
Te -4.174 -1.291 -1.172
```

***

Entry 8:
Entry from Alexandria: crystalline UAlFe2Ge4 at its relaxed geometry (PBE).

Output
Fermi-level density of states = 10.3 states/eV per cell
magnetic moment = 5.7 Bohr magnetons per cell
E_form = 17 kJ/mol of atoms

```
8
Lattice="-2.447 -2.557 0.719 2.633 -2.463 0.202 1.032 1.964 10.494" Properties=species:S:1:pos:R:3 pbc="T T T"
Fe 0.721 -1.316 6.842
Fe 0.498 -1.740 4.574
Ge -0.990 -0.835 2.729
Ge 2.116 0.289 8.226
Ge -0.424 0.242 8.484
Ge 1.550 -0.788 2.470
Al 0.516 0.982 5.247
U 0.000 0.000 0.000
```

***

Entry 9:
Entry from Alexandria: crystalline Ta2Fe2Ni at its relaxed geometry (PBE).

Output
Fermi-level density of states = 8.9 states/eV per cell
magnetic moment = 3.0 Bohr magnetons per cell
E_form = -1 kJ/mol of atoms

```
10
Lattice="6.652 0.000 0.000 0.000 6.652 0.000 0.000 0.000 3.165" Properties=species:S:1:pos:R:3 pbc="T T T"
Ni 0.000 0.000 0.000
Ni 3.326 3.326 0.000
Ta 5.477 2.152 1.583
Ta 2.152 1.174 1.583
Ta 1.174 4.500 1.583
Ta 4.500 5.477 1.583
Fe 4.176 0.850 0.000
Fe 0.850 2.476 0.000
Fe 5.801 4.176 0.000
Fe 2.476 5.801 0.000
```

***

Entry 10:
Entry from Alexandria: crystalline Ni2AgIr at its relaxed geometry (PBE).

Output
Fermi-level density of states = 5.1 states/eV per cell
relative energy among the computed polymorphs = 100.9 meV per atom
magnetic moment = 1.2 Bohr magnetons per cell
E_form = 23 kJ/mol of atoms

```
4
Lattice="-0.315 2.328 -3.427 -2.132 1.218 1.023 1.841 4.006 2.552" Properties=species:S:1:pos:R:3 pbc="T T T"
Ag -0.117 2.411 1.648
Ni 1.383 4.163 2.700
Ni 0.178 2.251 -1.006
Ir -0.353 5.344 1.144
```